GGA-PBE Cs5In4Pb2, relaxed; formation energy from the elements = 0.38 eV/f.u.
1.0
6.9304 -3.7488 0.0000
6.9304 3.7488 0.0000
-5.2333 0.0000 9.9777
Cs In Pb
5 4 2
direct
0.0000 0.0000 0.0000
0.1717 0.6702 0.6341
0.3298 0.8283 0.3659
0.6702 0.1717 0.6341
0.8283 0.3298 0.3659
0.3012 0.3012 0.2852
0.3023 0.3023 0.0301
0.6977 0.6977 0.9699
0.6988 0.6988 0.7148
0.2103 0.2103 0.7455
0.7897 0.7897 0.2545

GGA-PBE Y2Hg2S, relaxed; E_form (uncorrected) = -0.8611 eV/atom
1.0
7.3171 0.0000 0.0000
0.0000 7.3171 0.0000
0.0000 0.0000 4.9568
Y Hg S
4 4 2
direct
0.1729 0.3271 0.0000
0.3271 0.8271 0.0000
0.6729 0.1729 0.0000
0.8271 0.6729 0.0000
0.1405 0.6405 0.5000
0.3595 0.1405 0.5000
0.6405 0.8595 0.5000
0.8595 0.3595 0.5000
0.0000 0.0000 0.0000
0.5000 0.5000 0.0000

GGA-PBE ZrVI2, relaxed; E_form (uncorrected) = 0.4223 eV/atom
1.0
-2.5072 2.5072 8.9355
2.5072 -2.5072 8.9355
2.5072 2.5072 -8.9355
Zr V I
2 2 4
direct
0.0000 0.0000 0.0000
0.7500 0.2500 0.5000
0.2500 0.7500 0.5000
0.5000 0.5000 0.0000
0.1330 0.6250 0.0080
0.3750 0.3830 0.5080
0.6170 0.1250 0.9920
0.8750 0.8670 0.4920

GGA-PBE Sb2TeOsPt, relaxed; E_form (uncorrected) = 0.9197 eV/atom
1.0
5.0015 0.0000 0.0000
0.0000 5.0015 0.0000
0.0000 0.0000 5.3357
Sb Te Os Pt
2 1 1 1
direct
0.0000 0.5000 0.0000
0.5000 0.0000 0.0000
0.0000 0.0000 0.5000
0.0000 0.0000 0.0000
0.5000 0.5000 0.5000

GGA-PBE CaIrPdO6, relaxed; E_form (uncorrected) = -1.0958 eV/atom
1.0
5.2484 0.0000 0.0000
-2.6242 4.5453 0.0000
0.0000 0.0000 10.0544
Ca Ir Pd O
2 2 2 12
direct
0.0000 0.0000 0.0000
0.0000 0.0000 0.5000
0.3333 0.6667 0.2500
0.6667 0.3333 0.7500
0.3333 0.6667 0.7500
0.6667 0.3333 0.2500
0.0102 0.3698 0.1429
0.0102 0.6404 0.3571
0.3596 0.3698 0.3571
0.3596 0.9898 0.1429
0.3698 0.0102 0.6429
0.3698 0.3596 0.8571
0.6302 0.6404 0.1429
0.6302 0.9898 0.3571
0.6404 0.0102 0.8571
0.6404 0.6302 0.6429
0.9898 0.3596 0.6429
0.9898 0.6302 0.8571

GGA-PBE TlSnP2O, relaxed; E_form (uncorrected) = 0.2834 eV/atom
1.0
5.2569 0.0000 0.0000
0.0000 5.2569 0.0000
0.0000 0.0000 3.9604
Tl Sn P O
1 1 2 1
direct
0.0000 0.0000 0.0000
0.5000 0.5000 0.5000
0.0000 0.5000 0.5000
0.5000 0.0000 0.5000
0.5000 0.5000 0.0000

GGA-PBE DyTlTc2O8, relaxed; E_form (uncorrected) = -1.7598 eV/atom
1.0
6.0178 0.0000 0.0000
-3.0089 5.2116 0.0000
0.0000 0.0000 7.7639
Dy Tl Tc O
1 1 2 8
direct
0.0000 0.0000 0.0000
0.0000 0.0000 0.5000
0.3333 0.6667 0.2553
0.6667 0.3333 0.7447
0.1688 0.3415 0.1774
0.1726 0.8312 0.1774
0.3333 0.6667 0.4801
0.3415 0.1726 0.8226
0.6585 0.8274 0.1774
0.6667 0.3333 0.5199
0.8274 0.1688 0.8226
0.8312 0.6585 0.8226

GGA-PBE BaSrMgTl, relaxed; formation energy from the elements = -0.95 eV/f.u.
1.0
0.0000 4.2220 4.2220
4.2220 0.0000 4.2220
4.2220 4.2220 0.0000
Ba Sr Mg Tl
1 1 1 1
direct
0.0000 0.0000 0.0000
0.5000 0.5000 0.5000
0.2500 0.2500 0.2500
0.7500 0.7500 0.7500